{"formula": "ErMgPdRu", "functional": "PBE", "state": "relaxed", "spacegroup": "P4mm (99)", "polymorph_energy_ev_per_atom": 0.0000, "formation_enthalpy_0k_mev_per_atom": -506, "lattice_angstrom": [[3.348, 0.000, 0.000], [0.000, 3.348, 0.000], [0.000, 0.000, 6.391]], "species": ["Er", "Mg", "Ru", "Pd"], "fractional_positions": [[0.000, 0.000, 0.344], [0.000, 0.000, 0.864], [0.500, 0.500, 0.094], [0.500, 0.500, 0.626]]}

---

{"formula": "Er4MgPdRu2", "functional": "PBE", "state": "relaxed", "spacegroup": "R-3m (166)", "formation_enthalpy_0k_mev_per_atom": -493, "lattice_angstrom": [[-1.095, -1.012, 4.659], [-0.562, -4.645, 1.427], [7.270, -2.295, 3.779]], "species": ["Ru", "Ru", "Er", "Er", "Er", "Pd", "Er", "Mg"], "fractional_positions": [[0.252, 0.252, 0.243], [0.748, 0.748, 0.757], [0.128, 0.128, 0.616], [0.379, 0.379, 0.863], [0.872, 0.872, 0.384], [0.500, 0.500, 0.500], [0.621, 0.621, 0.137], [0.000, 0.000, 0.000]]}

---

{"formula": "ErMgPdRu", "functional": "PBE", "state": "relaxed", "spacegroup": "F-43m (216)", "polymorph_energy_ev_per_atom": 0.0218, "formation_enthalpy_0k_mev_per_atom": -484, "lattice_angstrom": [[4.653, 0.000, 0.000], [2.327, 4.030, 0.000], [2.327, 1.343, 3.799]], "species": ["Ru", "Mg", "Pd", "Er"], "fractional_positions": [[0.750, 0.750, 0.750], [0.000, 0.000, 0.000], [0.250, 0.250, 0.250], [0.500, 0.500, 0.500]]}

---

{"formula": "Er2MgSi2Pd5", "functional": "PBE", "state": "relaxed", "spacegroup": "P4/mbm (127)", "e_form_raw_ev_per_atom": -0.78, "lattice_angstrom": [[3.600, 0.000, 0.000], [0.000, 9.922, 0.000], [0.000, 0.000, 9.922]], "species": ["Si", "Pd", "Er", "Pd", "Mg", "Pd", "Pd", "Si", "Pd", "Mg", "Er", "Er", "Er", "Pd", "Pd", "Pd", "Si", "Pd", "Si", "Pd"], "fractional_positions": [[0.000, 0.873, 0.373], [0.500, 0.285, 0.562], [0.000, 0.173, 0.327], [0.500, 0.785, 0.938], [0.000, 0.000, 0.000], [0.500, 0.062, 0.785], [0.500, 0.000, 0.500], [0.000, 0.627, 0.873], [0.500, 0.215, 0.062], [0.000, 0.500, 0.500], [0.000, 0.827, 0.673], [0.000, 0.673, 0.173], [0.000, 0.327, 0.827], [0.500, 0.715, 0.438], [0.500, 0.562, 0.715], [0.500, 0.438, 0.285], [0.000, 0.127, 0.627], [0.500, 0.500, 0.000], [0.000, 0.373, 0.127], [0.500, 0.938, 0.215]]}

---

no.,Fermi-level density of states (states/eV per cell)
1,2.92
2,2.99
3,2.70
4,15.25